(1)
# LaMg2Cd2

An optimized crystal structure of LaMg2Cd2 (PBE, the Alexandria database).

Lattice parameters (Å, degrees): 4.508 4.508 12.997 90.00 90.00 90.00
Element x y z (fractional)
La 0.000 0.000 0.000
La 0.500 0.500 0.500
Mg 0.000 0.500 0.250
Mg 0.000 0.500 0.750
Mg 0.500 0.000 0.250
Mg 0.500 0.000 0.750
Cd 0.000 0.000 0.392
Cd 0.000 0.000 0.608
Cd 0.500 0.500 0.108
Cd 0.500 0.500 0.892

Properties
Density of states at the Fermi level = 0.82 states/eV/atom
DFT formation energy = -0.22 eV per atom
Distance to the lowest polymorph of the same formula = 0.0 meV per atom


(2)
# YFeSb2

An optimized crystal structure of YFeSb2 (PBE, the Alexandria database).

Lattice parameters (Å, degrees): 5.167 5.167 16.653 90.00 90.00 90.00
Element x y z (fractional)
Y 0.000 0.000 0.000
Y 0.000 0.500 0.250
Y 0.500 0.000 0.750
Y 0.500 0.500 0.500
Fe 0.000 0.000 0.500
Fe 0.000 0.500 0.750
Fe 0.500 0.000 0.250
Fe 0.500 0.500 0.000
Sb 0.149 0.250 0.625
Sb 0.250 0.649 0.875
Sb 0.250 0.851 0.375
Sb 0.351 0.250 0.125
Sb 0.649 0.750 0.125
Sb 0.750 0.149 0.375
Sb 0.750 0.351 0.875
Sb 0.851 0.750 0.625

Properties
Density of states at the Fermi level = 1.34 states/eV/atom
Calculated total energy = -5.747 eV per atom